Entry 1:
# CePmGd (PBE, optimized geometry)
data_CePmGd
_chemical_formula_sum 'Ce1 Pm1 Gd1'
_cell_length_a 5.6429
_cell_length_b 5.6429
_cell_length_c 3.4847
_cell_angle_alpha 90.00
_cell_angle_beta 90.00
_cell_angle_gamma 120.00
_symmetry_space_group_name_H-M 'P -6 m 2'
_symmetry_Int_Tables_number 187
_symmetry_space_group_name_Hall 'P -6 2'
loop_
_atom_site_label
_atom_site_type_symbol
_atom_site_fract_x
_atom_site_fract_y
_atom_site_fract_z
Ce1 Ce 0.0000 0.0000 0.0000
Pm1 Pm 0.6667 0.3333 0.0000
Gd1 Gd 0.3333 0.6667 0.5000
# M_tot: 6.4 μB/f.u.
# Excess energy over the best structure of this formula in the dataset: 0.058 eV/atom
# Formation energy from the elements: 2.88 kcal/mol of atoms
# DOS(E_F): 2.646 states/eV per atom
# V: 32.03 A^3/atom

Entry 2:
# CePmGdSc (PBE, optimized geometry)
data_CePmGdSc
_chemical_formula_sum 'Ce4 Pm4 Gd4 Sc4'
_cell_length_a 7.901
_cell_length_b 7.901
_cell_length_c 7.901
_cell_angle_alpha 90.00
_cell_angle_beta 90.00
_cell_angle_gamma 90.00
_symmetry_space_group_name_H-M 'F -4 3 m'
_symmetry_Int_Tables_number 216
_symmetry_space_group_name_Hall 'F -4 2 3'
loop_
_atom_site_label
_atom_site_type_symbol
_atom_site_fract_x
_atom_site_fract_y
_atom_site_fract_z
Ce1 Ce 0.000 0.000 0.000
Pm1 Pm 0.250 0.250 0.750
Gd1 Gd 0.000 0.000 0.500
Sc1 Sc 0.250 0.250 0.250
# M_tot: 9.2 μB/f.u.
# Formation energy from the elements: 4.06 kcal/mol of atoms
# DOS(E_F): 2.753 states/eV per atom
# V: 30.83 A^3/atom

Entry 3:
# CePmGdSn (PBE, optimized geometry)
data_CePmGdSn
_chemical_formula_sum 'Ce4 Pm4 Gd4 Sn4'
_cell_length_a 7.695
_cell_length_b 7.695
_cell_length_c 7.695
_cell_angle_alpha 90.00
_cell_angle_beta 90.00
_cell_angle_gamma 90.00
_symmetry_space_group_name_H-M 'F -4 3 m'
_symmetry_Int_Tables_number 216
_symmetry_space_group_name_Hall 'F -4 2 3'
loop_
_atom_site_label
_atom_site_type_symbol
_atom_site_fract_x
_atom_site_fract_y
_atom_site_fract_z
Ce1 Ce 0.000 0.000 0.000
Pm1 Pm 0.250 0.250 0.250
Gd1 Gd 0.250 0.250 0.750
Sn1 Sn 0.000 0.000 0.500
# M_tot: 8.2 μB/f.u.
# Formation energy from the elements: -4.95 kcal/mol of atoms
# DOS(E_F): 2.176 states/eV per atom
# V: 28.48 A^3/atom

Entry 4:
# TbCePmGd (PBE, optimized geometry)
data_TbCePmGd
_chemical_formula_sum 'Tb4 Ce4 Pm4 Gd4'
_cell_length_a 8.063
_cell_length_b 8.063
_cell_length_c 8.063
_cell_angle_alpha 90.00
_cell_angle_beta 90.00
_cell_angle_gamma 90.00
_symmetry_space_group_name_H-M 'F -4 3 m'
_symmetry_Int_Tables_number 216
_symmetry_space_group_name_Hall 'F -4 2 3'
loop_
_atom_site_label
_atom_site_type_symbol
_atom_site_fract_x
_atom_site_fract_y
_atom_site_fract_z
Tb1 Tb 0.000 0.000 0.000
Ce1 Ce 0.000 0.000 0.500
Pm1 Pm 0.250 0.250 0.750
Gd1 Gd 0.250 0.250 0.250
# M_tot: 6.6 μB/f.u.
# Formation energy from the elements: 4.63 kcal/mol of atoms
# DOS(E_F): 3.633 states/eV per atom
# V: 32.76 A^3/atom

Entry 5:
# CePmGdZr (PBE, optimized geometry)
data_CePmGdZr
_chemical_formula_sum 'Ce4 Pm4 Gd4 Zr4'
_cell_length_a 7.754
_cell_length_b 7.754
_cell_length_c 7.754
_cell_angle_alpha 90.00
_cell_angle_beta 90.00
_cell_angle_gamma 90.00
_symmetry_space_group_name_H-M 'F -4 3 m'
_symmetry_Int_Tables_number 216
_symmetry_space_group_name_Hall 'F -4 2 3'
loop_
_atom_site_label
_atom_site_type_symbol
_atom_site_fract_x
_atom_site_fract_y
_atom_site_fract_z
Ce1 Ce 0.000 0.000 0.000
Pm1 Pm 0.000 0.000 0.500
Gd1 Gd 0.250 0.250 0.250
Zr1 Zr 0.250 0.250 0.750
# M_tot: 6.8 μB/f.u.
# Formation energy from the elements: 5.20 kcal/mol of atoms
# DOS(E_F): 1.993 states/eV per atom
# V: 29.13 A^3/atom

Entry 6:
# CePrGd2 (PBE, optimized geometry)
data_CePrGd2
_chemical_formula_sum 'Ce3 Pr3 Gd6'
_cell_length_a 3.4971
_cell_length_b 3.4971
_cell_length_c 37.1753
_cell_angle_alpha 90.00
_cell_angle_beta 90.00
_cell_angle_gamma 120.00
_symmetry_space_group_name_H-M 'R -3 m'
_symmetry_Int_Tables_number 166
_symmetry_space_group_name_Hall '-R 3 2"'
loop_
_atom_site_label
_atom_site_type_symbol
_atom_site_fract_x
_atom_site_fract_y
_atom_site_fract_z
Ce1 Ce 0.0000 0.0000 0.0000
Pr1 Pr 0.0000 0.0000 0.5000
Gd1 Gd 0.0000 0.0000 0.4080
# M_tot: 14.4 μB/f.u.
# Excess energy over the best structure of this formula in the dataset: 0.101 eV/atom
# Formation energy from the elements: 3.70 kcal/mol of atoms
# DOS(E_F): 1.729 states/eV per atom
# V: 32.81 A^3/atom

Entry 7:
# CePrGd2 (PBE, optimized geometry)
data_CePrGd2
_chemical_formula_sum 'Ce1 Pr1 Gd2'
_cell_length_a 5.083
_cell_length_b 5.083
_cell_length_c 5.069
_cell_angle_alpha 90.00
_cell_angle_beta 90.00
_cell_angle_gamma 90.00
_symmetry_space_group_name_H-M 'P 4/m m m'
_symmetry_Int_Tables_number 123
_symmetry_space_group_name_Hall '-P 4 2'
loop_
_atom_site_label
_atom_site_type_symbol
_atom_site_fract_x
_atom_site_fract_y
_atom_site_fract_z
Ce1 Ce 0.000 0.000 0.000
Pr1 Pr 0.500 0.500 0.000
Gd1 Gd 0.000 0.500 0.500
# M_tot: 13.7 μB/f.u.
# Excess energy over the best structure of this formula in the dataset: 0.021 eV/atom
# Formation energy from the elements: 1.86 kcal/mol of atoms
# DOS(E_F): 2.319 states/eV per atom
# V: 32.74 A^3/atom

Entry 8:
# CePrGd (PBE, optimized geometry)
data_CePrGd
_chemical_formula_sum 'Ce2 Pr2 Gd2'
_cell_length_a 3.573
_cell_length_b 3.573
_cell_length_c 15.184
_cell_angle_alpha 90.00
_cell_angle_beta 90.00
_cell_angle_gamma 90.00
_symmetry_space_group_name_H-M 'I 4 m m'
_symmetry_Int_Tables_number 107
_symmetry_space_group_name_Hall 'I 4 -2'
loop_
_atom_site_label
_atom_site_type_symbol
_atom_site_fract_x
_atom_site_fract_y
_atom_site_fract_z
Ce1 Ce 0.000 0.000 0.000
Pr1 Pr 0.000 0.000 0.662
Gd1 Gd 0.000 0.000 0.345
# M_tot: 7.1 μB/f.u.
# Excess energy over the best structure of this formula in the dataset: 0.000 eV/atom
# Formation energy from the elements: 1.58 kcal/mol of atoms
# DOS(E_F): 1.975 states/eV per atom
# V: 32.32 A^3/atom

Entry 9:
# CePrGd2 (PBE, optimized geometry)
data_CePrGd2
_chemical_formula_sum 'Ce1 Pr1 Gd2'
_cell_length_a 3.569
_cell_length_b 3.569
_cell_length_c 10.152
_cell_angle_alpha 90.00
_cell_angle_beta 90.00
_cell_angle_gamma 90.00
_symmetry_space_group_name_H-M 'P 4/m m m'
_symmetry_Int_Tables_number 123
_symmetry_space_group_name_Hall '-P 4 2'
loop_
_atom_site_label
_atom_site_type_symbol
_atom_site_fract_x
_atom_site_fract_y
_atom_site_fract_z
Ce1 Ce 0.000 0.000 0.000
Pr1 Pr 0.000 0.000 0.500
Gd1 Gd 0.500 0.500 0.236
# M_tot: 13.7 μB/f.u.
# Excess energy over the best structure of this formula in the dataset: 0.000 eV/atom
# Formation energy from the elements: 1.36 kcal/mol of atoms
# DOS(E_F): 2.048 states/eV per atom
# V: 32.33 A^3/atom

Entry 10:
# CePr2Gd (PBE, optimized geometry)
data_CePr2Gd
_chemical_formula_sum 'Ce4 Pr8 Gd4'
_cell_length_a 8.199
_cell_length_b 8.199
_cell_length_c 8.199
_cell_angle_alpha 90.00
_cell_angle_beta 90.00
_cell_angle_gamma 90.00
_symmetry_space_group_name_H-M 'F m -3 m'
_symmetry_Int_Tables_number 225
_symmetry_space_group_name_Hall '-F 4 2 3'
loop_
_atom_site_label
_atom_site_type_symbol
_atom_site_fract_x
_atom_site_fract_y
_atom_site_fract_z
Ce1 Ce 0.000 0.000 0.000
Pr1 Pr 0.250 0.250 0.250
Gd1 Gd 0.000 0.000 0.500
# M_tot: 10.3 μB/f.u.
# Excess energy over the best structure of this formula in the dataset: 0.109 eV/atom
# Formation energy from the elements: 4.00 kcal/mol of atoms
# DOS(E_F): 2.371 states/eV per atom
# V: 34.44 A^3/atom

Entry 11:
# CePrGd (PBE, optimized geometry)
data_CePrGd
_chemical_formula_sum 'Ce1 Pr1 Gd1'
_cell_length_a 3.5725
_cell_length_b 3.5725
_cell_length_c 8.7748
_cell_angle_alpha 90.00
_cell_angle_beta 90.00
_cell_angle_gamma 120.00
_symmetry_space_group_name_H-M 'P 3 m 1'
_symmetry_Int_Tables_number 156
_symmetry_space_group_name_Hall 'P 3 -2"'
loop_
_atom_site_label
_atom_site_type_symbol
_atom_site_fract_x
_atom_site_fract_y
_atom_site_fract_z
Ce1 Ce 0.0000 0.0000 0.0000
Pr1 Pr 0.6667 0.3333 0.3283
Gd1 Gd 0.3333 0.6667 0.6823
# M_tot: 7.0 μB/f.u.
# Excess energy over the best structure of this formula in the dataset: 0.004 eV/atom
# Formation energy from the elements: 1.67 kcal/mol of atoms
# DOS(E_F): 2.193 states/eV per atom
# V: 32.33 A^3/atom

Entry 12:
# CePr2Gd (PBE, optimized geometry)
data_CePr2Gd
_chemical_formula_sum 'Ce1 Pr2 Gd1'
_cell_length_a 5.129
_cell_length_b 5.129
_cell_length_c 5.124
_cell_angle_alpha 90.00
_cell_angle_beta 90.00
_cell_angle_gamma 90.00
_symmetry_space_group_name_H-M 'P 4/m m m'
_symmetry_Int_Tables_number 123
_symmetry_space_group_name_Hall '-P 4 2'
loop_
_atom_site_label
_atom_site_type_symbol
_atom_site_fract_x
_atom_site_fract_y
_atom_site_fract_z
Ce1 Ce 0.000 0.000 0.000
Pr1 Pr 0.000 0.500 0.500
Gd1 Gd 0.500 0.500 0.000
# M_tot: 6.5 μB/f.u.
# Excess energy over the best structure of this formula in the dataset: 0.015 eV/atom
# Formation energy from the elements: 1.83 kcal/mol of atoms
# DOS(E_F): 2.327 states/eV per atom
# V: 33.70 A^3/atom